Below is a PBEsol-optimized structure of LaNi2, with properties calculated at the SCAN level.

Cell: 3.885 5.304 5.917 Å, 74.17 70.83 68.52°
Atoms (fractional coordinates):
La (0.063, 0.663, 0.212)
La (0.937, 0.337, 0.788)
Ni (0.279, 0.858, 0.585)
Ni (0.641, 0.892, 0.825)
Ni (0.359, 0.108, 0.175)
Ni (0.721, 0.142, 0.415)

Results
Space group ... C2/m, No. 12
Final energy ... -0.9327 Ha/atom
DFT formation energy ... -231 meV per atom
DOS at the Fermi energy ... 0.56 states/eV per atom


Below is a PBEsol-optimized structure of TaSiIr2, with properties calculated at the SCAN level.

Cell: 5.438 5.438 6.811 Å, 113.53 113.53 90.00°
Atoms (fractional coordinates):
Si (0.750, 0.250, 0.500)
Si (0.500, 0.500, 0.000)
Ir (0.404, 0.875, 0.250)
Ir (0.846, 0.375, 0.250)
Ir (0.125, 0.154, 0.750)
Ir (0.625, 0.596, 0.750)
Ta (0.250, 0.750, 0.500)
Ta (0.000, 0.000, 0.000)

Results
Space group ... I-42d, No. 122
Final energy ... -2.0111 Ha/atom
Raw formation energy ... -26 meV/atom
DOS at the Fermi energy ... 0.45 states/eV per atom


Below is a PBEsol-optimized structure of SbP3Ir, with properties calculated at the SCAN level.

Cell: 4.610 4.610 4.610 Å, 90.00 90.00 90.00°
Atoms (fractional coordinates):
Sb (0.500, 0.500, 0.500)
Ir (0.000, 0.000, 0.000)
P (0.000, 0.500, 0.000)
P (0.000, 0.000, 0.500)
P (0.500, 0.000, 0.000)

Results
Space group ... Pm-3m, No. 221
Final energy ... -1.0004 Ha/atom
Raw formation energy ... 689 meV/atom
DOS at the Fermi energy ... 0.84 states/eV per atom


Calculated size of the total moment, 0.00 0.00 0.00 μB/f.u. (same order as the records).